1.
DFT (PBE) results for a relaxed structure of Ba4ScTl.

* energy relative to the elements: 0.48 eV per atom
* uncorrected energy: -0.1655 Ry/atom
* N(E_F): 1.62 states/eV per atom

a = 10.404 Å, b = 10.404 Å, c = 10.404 Å
α = 90.00°, β = 90.00°, γ = 90.00°
Space group F-43m (No. 216)
Asymmetric unit:
Ba1 0.125 0.125 0.125 x16
Sc1 0.250 0.250 0.750 x4
Tl1 0.000 0.000 0.500 x4



2.
DFT (PBE) results for a relaxed structure of Dy2ScSn.

* excess energy over the best structure of this formula in the dataset: 0 meV per atom
* energy relative to the elements: -0.41 eV per atom
* uncorrected energy: -0.3890 Ry/atom
* N(E_F): 1.29 states/eV per atom

a = 4.694 Å, b = 4.694 Å, c = 4.727 Å
α = 90.00°, β = 90.00°, γ = 90.00°
Space group P4/mmm (No. 123)
Asymmetric unit:
Dy1 0.000 0.500 0.000 x2
Sc1 0.000 0.000 0.500 x1
Sn1 0.500 0.500 0.500 x1



3.
DFT (PBE) results for a relaxed structure of Mn2VTcPd.

* excess energy over the best structure of this formula in the dataset: 0 meV per atom
* energy relative to the elements: 1.19 eV per atom
* uncorrected energy: -0.5451 Ry/atom
* N(E_F): 1.35 states/eV per atom

a = 4.171 Å, b = 4.171 Å, c = 4.401 Å
α = 90.00°, β = 90.00°, γ = 90.00°
Space group P4/mmm (No. 123)
Asymmetric unit:
Mn1 0.000 0.500 0.000 x2
V1 0.000 0.000 0.000 x1
Tc1 0.000 0.000 0.500 x1
Pd1 0.500 0.500 0.500 x1



4.
DFT (PBE) results for a relaxed structure of RbVS2Cl.

* excess energy over the best structure of this formula in the dataset: 0 meV per atom
* raw formation energy: -22.28 kcal/mol of atoms
* uncorrected energy: -0.3678 Ry/atom
* N(E_F): 0.37 states/eV per atom

a = 4.637 Å, b = 4.637 Å, c = 5.309 Å
α = 90.00°, β = 90.00°, γ = 90.00°
Space group P4/mmm (No. 123)
Asymmetric unit:
Rb1 0.000 0.000 0.000 x1
V1 0.500 0.500 0.500 x1
S1 0.000 0.500 0.500 x2
Cl1 0.500 0.500 0.000 x1



5.
DFT (PBE) results for a relaxed structure of Dy2Hf3ScN6.

* raw formation energy: -41.89 kcal/mol of atoms
* uncorrected energy: -0.7175 Ry/atom
* N(E_F): 0.23 states/eV per atom

a = 14.385 Å, b = 3.273 Å, c = 6.598 Å
α = 90.00°, β = 103.92°, γ = 90.00°
Space group C2/m (No. 12)
Asymmetric unit:
Dy1 0.165 0.000 0.330 x4
Hf1 0.000 0.500 0.500 x2
Hf2 0.164 0.000 0.834 x4
Sc1 0.000 0.500 0.000 x2
N1 0.005 0.000 0.748 x4
N2 0.161 0.500 0.597 x4
N3 0.168 0.500 0.068 x4



6.
DFT (PBE) results for a relaxed structure of Hg2SbAsPt.

* raw formation energy: 18.43 kcal/mol of atoms
* uncorrected energy: -0.1679 Ry/atom
* N(E_F): 0.64 states/eV per atom

a = 5.057 Å, b = 5.057 Å, c = 5.539 Å
α = 90.00°, β = 90.00°, γ = 90.00°
Space group P4/mmm (No. 123)
Asymmetric unit:
Hg1 0.000 0.500 0.000 x2
Sb1 0.000 0.000 0.500 x1
As1 0.000 0.000 0.000 x1
Pt1 0.500 0.500 0.500 x1



7.
DFT (PBE) results for a relaxed structure of BeSiAu.

* excess energy over the best structure of this formula in the dataset: 62 meV per atom
* raw formation energy: 1.07 kcal/mol of atoms
* uncorrected energy: -0.3010 Ry/atom
* N(E_F): 0.21 states/eV per atom

a = 4.862 Å, b = 3.616 Å, c = 5.013 Å
α = 90.00°, β = 105.37°, γ = 90.00°
Space group P2_1/m (No. 11)
Asymmetric unit:
Be1 0.114 0.250 0.395 x2
Si1 0.413 0.750 0.642 x2
Au1 0.190 0.250 0.905 x2



8.
DFT (PBE) results for a relaxed structure of Li2Pd2Pb3.

* energy relative to the elements: -0.20 eV per atom
* uncorrected energy: -0.2806 Ry/atom
* N(E_F): 0.38 states/eV per atom

a = 5.470 Å, b = 9.379 Å, c = 6.113 Å
α = 90.00°, β = 111.30°, γ = 90.00°
Space group P2_1/c (No. 14)
Asymmetric unit:
Li1 0.065 0.230 0.338 x4
Pd1 0.407 0.729 0.507 x4
Pb1 0.000 0.000 0.000 x2
Pb2 0.337 0.004 0.670 x4



9.
DFT (PBE) results for a relaxed structure of PrMgCd.

* energy relative to the elements: -0.18 eV per atom
* uncorrected energy: -0.1917 Ry/atom
* N(E_F): 1.18 states/eV per atom

a = 3.518 Å, b = 3.518 Å, c = 12.942 Å
α = 90.00°, β = 90.00°, γ = 90.00°
Space group I4mm (No. 107)
Asymmetric unit:
Pr1 0.000 0.000 0.000 x2
Mg1 0.000 0.000 0.690 x2
Cd1 0.000 0.000 0.324 x2



10.
DFT (PBE) results for a relaxed structure of ZnOs4W.

* energy relative to the elements: 0.60 eV per atom
* uncorrected energy: -0.6807 Ry/atom
* N(E_F): 0.89 states/eV per atom

a = 7.237 Å, b = 7.237 Å, c = 7.237 Å
α = 90.00°, β = 90.00°, γ = 90.00°
Space group F-43m (No. 216)
Asymmetric unit:
Zn1 0.000 0.000 0.000 x4
Os1 0.125 0.125 0.625 x16
W1 0.250 0.250 0.250 x4



11.
DFT (PBE) results for a relaxed structure of Te2OsAu.

* excess energy over the best structure of this formula in the dataset: 481 meV per atom
* raw formation energy: 15.19 kcal/mol of atoms
* uncorrected energy: -0.3336 Ry/atom
* N(E_F): 0.51 states/eV per atom

a = 6.879 Å, b = 6.879 Å, c = 6.879 Å
α = 90.00°, β = 90.00°, γ = 90.00°
Space group Fm-3m (No. 225)
Asymmetric unit:
Te1 0.250 0.250 0.250 x8
Os1 0.000 0.000 0.000 x4
Au1 0.000 0.000 0.500 x4



12.
DFT (PBE) results for a relaxed structure of Sm2Al4SiPt3.

* raw formation energy: -22.50 kcal/mol of atoms
* uncorrected energy: -0.4242 Ry/atom
* N(E_F): 0.74 states/eV per atom

a = 4.260 Å, b = 4.260 Å, c = 10.422 Å
α = 90.00°, β = 90.00°, γ = 90.00°
Space group P-4m2 (No. 115)
Asymmetric unit:
Sm1 0.000 0.500 0.247 x2
Al1 0.000 0.000 0.500 x1
Al2 0.000 0.500 0.866 x2
Al3 0.500 0.500 0.500 x1
Si1 0.500 0.500 0.000 x1
Pt1 0.000 0.000 0.000 x1
Pt2 0.000 0.500 0.631 x2



13.
DFT (PBE) results for a relaxed structure of Sc4MnPbS8.

* raw formation energy: -32.82 kcal/mol of atoms
* uncorrected energy: -0.4785 Ry/atom

a = 7.7586 Å, b = 7.7586 Å, c = 18.8279 Å
α = 90.00°, β = 90.00°, γ = 120.00°
Space group R3m (No. 160, hexagonal axes)
Asymmetric unit:
Sc1 0.0000 0.0000 0.0000 x3
Sc2 0.0061 0.5031 0.1228 x9
Mn1 0.0000 0.0000 0.6232 x3
Pb1 0.0000 0.0000 0.2412 x3
S1 0.0000 0.0000 0.3863 x3
S2 0.0000 0.0000 0.8659 x3
S3 0.0179 0.5090 0.3758 x9
S4 0.1927 0.3855 0.2012 x9



14.
DFT (PBE) results for a relaxed structure of IrOs2W.

* excess energy over the best structure of this formula in the dataset: 117 meV per atom
* energy relative to the elements: -0.01 eV per atom
* uncorrected energy: -0.8140 Ry/atom
* N(E_F): 0.83 states/eV per atom

a = 2.755 Å, b = 2.755 Å, c = 7.837 Å
α = 90.00°, β = 90.00°, γ = 90.00°
Space group P4mm (No. 99)
Asymmetric unit:
Ir1 0.000 0.000 0.000 x1
Os1 0.000 0.000 0.487 x1
Os2 0.500 0.500 0.258 x1
W1 0.500 0.500 0.755 x1



15.
DFT (PBE) results for a relaxed structure of BaLa3Ga.

* excess energy over the best structure of this formula in the dataset: 0 meV per atom
* energy relative to the elements: 0.00 eV per atom
* uncorrected energy: -0.2900 Ry/atom
* N(E_F): 1.48 states/eV per atom

a = 6.024 Å, b = 6.024 Å, c = 6.024 Å
α = 90.00°, β = 90.00°, γ = 90.00°
Space group Pm-3m (No. 221)
Asymmetric unit:
Ba1 0.000 0.000 0.000 x1
La1 0.000 0.500 0.500 x3
Ga1 0.500 0.500 0.500 x1



16.
DFT (PBE) results for a relaxed structure of Cr2InAs.

* excess energy over the best structure of this formula in the dataset: 315 meV per atom
* energy relative to the elements: 0.46 eV per atom
* uncorrected energy: -0.4555 Ry/atom
* N(E_F): 0.59 states/eV per atom

a = 6.323 Å, b = 6.323 Å, c = 6.323 Å
α = 90.00°, β = 90.00°, γ = 90.00°
Space group Fm-3m (No. 225)
Asymmetric unit:
Cr1 0.250 0.250 0.250 x8
In1 0.000 0.000 0.000 x4
As1 0.000 0.000 0.500 x4



17.
DFT (PBE) results for a relaxed structure of Tm2Ag2Hg5.

* energy relative to the elements: -0.13 eV per atom
* uncorrected energy: -0.1411 Ry/atom
* N(E_F): 0.43 states/eV per atom

a = 15.771 Å, b = 7.275 Å, c = 7.510 Å
α = 90.00°, β = 90.00°, γ = 90.00°
Space group Cmce (No. 64)
Asymmetric unit:
Tm1 0.212 0.000 0.000 x8
Ag1 0.000 0.135 0.361 x8
Hg1 0.000 0.000 0.000 x4
Hg2 0.129 0.162 0.663 x16



18.
DFT (PBE) results for a relaxed structure of Tm2ZrTl.

* excess energy over the best structure of this formula in the dataset: 0 meV per atom
* energy relative to the elements: -0.14 eV per atom
* uncorrected energy: -0.3754 Ry/atom
* N(E_F): 0.88 states/eV per atom

a = 3.450 Å, b = 3.450 Å, c = 8.925 Å
α = 90.00°, β = 90.00°, γ = 90.00°
Space group P4/mmm (No. 123)
Asymmetric unit:
Tm1 0.000 0.000 0.249 x2
Zr1 0.500 0.500 0.500 x1
Tl1 0.500 0.500 0.000 x1



19.
DFT (PBE) results for a relaxed structure of PaTiOs4.

* energy relative to the elements: -0.14 eV per atom
* uncorrected energy: -0.7732 Ry/atom
* N(E_F): 1.52 states/eV per atom

a = 7.457 Å, b = 7.457 Å, c = 7.457 Å
α = 90.00°, β = 90.00°, γ = 90.00°
Space group F-43m (No. 216)
Asymmetric unit:
Pa1 0.000 0.000 0.000 x4
Ti1 0.250 0.250 0.750 x4
Os1 0.124 0.124 0.376 x16



20.
DFT (PBE) results for a relaxed structure of CrCd2Re.

* excess energy over the best structure of this formula in the dataset: 0 meV per atom
* energy relative to the elements: 0.29 eV per atom
* uncorrected energy: -0.4177 Ry/atom
* N(E_F): 0.88 states/eV per atom

a = 3.022 Å, b = 3.027 Å, c = 7.582 Å
α = 90.00°, β = 90.07°, γ = 90.00°
Space group Pm (No. 6)
Asymmetric unit:
Cr1 0.000 0.000 0.000 x1
Cd1 0.001 0.000 0.436 x1
Cd2 0.500 0.500 0.739 x1
Re1 0.501 0.500 0.158 x1